The following is a DFT calculation (PBE) of an optimized crystal structure of Ag5HgTe6.

Unit cell a=8.0077 b=12.6451 c=7.1262 alpha=90.00 beta=112.35 gamma=90.00
Space group C2/m (No. 12)
Asymmetric unit:
Ag (0.0000, 0.0000, 0.0000) (multiplicity 2)
Ag (0.0000, 0.1680, 0.5000) (multiplicity 4)
Ag (0.0000, 0.3382, 0.0000) (multiplicity 4)
Hg (0.0000, 0.5000, 0.5000) (multiplicity 2)
Te (0.1803, 0.1709, 0.2429) (multiplicity 8)
Te (0.1993, 0.5000, 0.2550) (multiplicity 4)

Computed properties:
Volume = 333.70 Å³/f.u.
Energy relative to the elements, uncorrected = -0.009 eV/atom